(1)
Below is an optimized crystal structure of TmHf3Ir2, with properties calculated at the PBE-GGA level.

Lattice parameters (Å, degrees): 4.502 6.753 8.209 90.00 90.00 90.00
Element x y z (fractional)
Ir 0.000 0.246 0.666
Hf 0.500 0.147 0.832
Hf 0.500 0.647 0.168
Hf 0.000 0.991 0.076
Tm 0.500 0.011 0.427
Ir 0.000 0.746 0.334
Hf 0.000 0.491 0.924
Tm 0.500 0.511 0.573
Hf 0.000 0.353 0.323
Ir 0.500 0.752 0.846
Hf 0.000 0.853 0.677
Ir 0.500 0.252 0.154

Output
SG	Pmc2_1, No. 26

(2)
Below is an optimized crystal structure of MgPbBr2, with properties calculated at the PBE-GGA level.

Lattice parameters (Å, degrees): 6.764 6.764 6.312 73.40 73.40 30.04
Element x y z (fractional)
Br 0.103 0.103 0.938
Mg 0.750 0.750 0.750
Pb 0.250 0.250 0.250
Br 0.397 0.397 0.562

Output
SG	C2/m, No. 12
energy above the lowest structure with this stoichiometry	0.229	eV per atom
uncorrected formation energy	-685.2	meV per atom

no.,spin magnetization (μB per cell),raw total energy (eV per atom)
1,0.00,-9.4517
2,0.00,-2.8474